1.
# PmNd2HfP4

Crystalline PmNd2HfP4 at its relaxed geometry (PBE, Alexandria).

Unit cell a=4.0217 b=6.9788 c=6.9849 alpha=109.17 beta=90.00 gamma=90.00
Atoms (fractional coordinates):
Pm 0.5000 0.5000 0.0000
Nd 0.5000 0.0000 0.5000
Nd 0.0000 0.5000 0.5000
Hf 0.0000 0.0000 0.0000
P 0.5000 0.2294 0.2280
P 0.5000 0.7706 0.7720
P 0.0000 0.2397 0.7633
P 0.0000 0.7603 0.2367

Values from the calculation:
Crystal system: monoclinic
Energy of formation: -1.4584 eV/atom
Space-group type: P2/m, No. 10

=====

2.
# PrNd2HfP4

Crystalline PrNd2HfP4 at its relaxed geometry (PBE, Alexandria).

Unit cell a=4.0414 b=7.0184 c=7.0120 alpha=109.16 beta=90.00 gamma=90.00
Atoms (fractional coordinates):
Pr 0.5000 0.5000 0.0000
Nd 0.5000 0.0000 0.5000
Nd 0.0000 0.5000 0.5000
Hf 0.0000 0.0000 0.0000
P 0.5000 0.2277 0.2291
P 0.5000 0.7723 0.7709
P 0.0000 0.2363 0.7607
P 0.0000 0.7637 0.2393

Values from the calculation:
Crystal system: monoclinic
Energy of formation: -1.4333 eV/atom
Space-group type: P2/m, No. 10